Co3OF5 | GGA+U | optimized geometry

Values from the calculation:
- energy above the most stable polymorph in this dataset (kJ per mole of atoms) = 7.4
- space group = Pmn2_1, No. 31

Cell: 3.0317 4.6958 14.1621 Å, 90.00 90.00 90.00°
Element x y z (fractional)
Co 0.0000 0.2237 0.0000
Co 0.0000 0.2314 0.3481
Co 0.0000 0.2644 0.6715
Co 0.5000 0.7356 0.1715
Co 0.5000 0.7686 0.8481
Co 0.5000 0.7763 0.5000
O 0.0000 0.9536 0.4459
O 0.5000 0.0464 0.9459
F 0.0000 0.5227 0.9067
F 0.0000 0.5295 0.2370
F 0.0000 0.5753 0.5658
F 0.0000 0.9463 0.1029
F 0.0000 0.9583 0.7729
F 0.5000 0.0417 0.2729
F 0.5000 0.0537 0.6029
F 0.5000 0.4247 0.0658
F 0.5000 0.4705 0.7370
F 0.5000 0.4773 0.4067